# TlCoGeF2 | the Alexandria database | PBE with a Hubbard U | relaxed
data_TlCoGeF2
_chemical_formula_sum 'Tl1 Co1 Ge1 F2'
_cell_length_a 4.0532
_cell_length_b 4.0532
_cell_length_c 5.3350
_cell_angle_alpha 90.00
_cell_angle_beta 90.00
_cell_angle_gamma 90.00
_space_group_name_H-M_alt 'P 4/m m m'
_space_group_IT_number 123
_space_group_name_Hall '-P 4 2'
loop_
_atom_site_label
_atom_site_fract_x
_atom_site_fract_y
_atom_site_fract_z
Tl1 0.0000 0.0000 0.0000
Co1 0.5000 0.5000 0.5000
Ge1 0.5000 0.5000 0.0000
F1 0.0000 0.5000 0.5000
# - Density of states at the Fermi level: 1.78 states/eV per cell
# - Theoretical density: 7.09 g/cm³
# - Final energy: -4.1078 eV/atom